## KHfS3 (PBE-GGA)

Data for crystalline KHfS3 at its relaxed geometry.

## Properties
ΔE_f (raw) = -1174 meV per atom
crystal system = trigonal
DFT total energy = -58.60 eV for the cell shown
offset from the most stable computed form = 0.203 eV/atom

Unit cell a=7.449 b=7.449 c=7.449 alpha=56.42 beta=56.42 gamma=56.42
Atoms (fractional coordinates):
K (0.118, 0.118, 0.118)
K (0.882, 0.882, 0.882)
Hf (0.334, 0.334, 0.334)
Hf (0.666, 0.666, 0.666)
S (0.077, 0.641, 0.512)
S (0.359, 0.488, 0.923)
S (0.488, 0.923, 0.359)
S (0.512, 0.077, 0.641)
S (0.641, 0.512, 0.077)
S (0.923, 0.359, 0.488)